Density functional theory data (PBE-GGA) for a relaxed Ac2PuSi3Ir4 crystal.

The structure in POSCAR format:
```
Ac2PuSi3Ir4
1.0
4.273 0.000 0.000
0.000 4.273 0.000
0.000 0.000 10.932
Si Ir Ac Pu
3 4 2 1
Direct
0.000 0.500 0.116
0.000 0.000 0.500
0.500 0.000 0.884
0.000 0.500 0.345
0.500 0.000 0.655
0.000 0.000 0.000
0.500 0.500 0.000
0.500 0.000 0.238
0.000 0.500 0.762
0.500 0.500 0.500
```

Values from the calculation:
Total DFT energy (no corrections): -8.26 eV per atom
Magnetization: 4.93 μB per formula unit
Space-group type: P-4m2, No. 115
Formation energy from raw total energies: -0.83 eV/atom